1.
Material: HoMgPa2Ir4
Method: DFT, PBE
State: optimized geometry

DOS at the Fermi energy, states/eV/cell: 6.25
Energy of formation from the pure elements, eV per atom: -0.70
Calculated total energy, eV per atom: -8.2759
Space group: No. 166

```
data_HoMgPa2Ir4
_cell_length_a 8.820
_cell_length_b 8.820
_cell_length_c 8.820
_cell_angle_alpha 30.83
_cell_angle_beta 30.83
_cell_angle_gamma 30.83
_space_group_name_H-M_alt 'P 1'
_space_group_IT_number 1
_space_group_name_Hall 'P 1'
loop_
_atom_site_label
_atom_site_type_symbol
_atom_site_fract_x
_atom_site_fract_y
_atom_site_fract_z
Ho1 Ho 0.000 0.000 0.000
Mg1 Mg 0.500 0.500 0.500
Pa1 Pa 0.244 0.244 0.244
Pa2 Pa 0.756 0.756 0.756
Ir1 Ir 0.122 0.122 0.122
Ir2 Ir 0.391 0.391 0.391
Ir3 Ir 0.609 0.609 0.609
Ir4 Ir 0.878 0.878 0.878
```

***

2.
Material: Pm6Ge5Pd
Method: DFT, PBE
State: optimized geometry

DOS at the Fermi energy, states/eV/cell: 9.63
Energy of formation from the pure elements, eV per atom: -0.64
Calculated total energy, eV per atom: -5.3675
Space group: No. 12

```
data_Pm6Ge5Pd
_cell_length_a 7.437
_cell_length_b 7.437
_cell_length_c 7.313
_cell_angle_alpha 99.76
_cell_angle_beta 99.76
_cell_angle_gamma 120.07
_space_group_name_H-M_alt 'P 1'
_space_group_IT_number 1
_space_group_name_Hall 'P 1'
loop_
_atom_site_label
_atom_site_type_symbol
_atom_site_fract_x
_atom_site_fract_y
_atom_site_fract_z
Pm1 Pm 0.084 0.413 0.752
Pm2 Pm 0.245 0.245 0.254
Pm3 Pm 0.413 0.084 0.752
Pm4 Pm 0.587 0.916 0.248
Pm5 Pm 0.755 0.755 0.746
Pm6 Pm 0.916 0.587 0.248
Ge1 Ge 0.166 0.834 0.000
Ge2 Ge 0.333 0.667 0.500
Ge3 Ge 0.500 0.500 0.000
Ge4 Ge 0.667 0.333 0.500
Ge5 Ge 0.834 0.166 0.000
Pd1 Pd 0.000 0.000 0.500
```

***

3.
Material: RbHW
Method: DFT, PBE
State: optimized geometry

Energy relative to the lowest polymorph listed for this composition, meV per atom: 138
DOS at the Fermi energy, states/eV/cell: 1.53
Calculated total energy, eV per atom: -5.2727
Space group: No. 2

```
data_RbHW
_cell_length_a 2.972
_cell_length_b 3.903
_cell_length_c 11.509
_cell_angle_alpha 90.05
_cell_angle_beta 93.16
_cell_angle_gamma 90.00
_space_group_name_H-M_alt 'P 1'
_space_group_IT_number 1
_space_group_name_Hall 'P 1'
loop_
_atom_site_label
_atom_site_type_symbol
_atom_site_fract_x
_atom_site_fract_y
_atom_site_fract_z
Rb1 Rb 0.231 0.251 0.305
Rb2 Rb 0.769 0.749 0.695
H1 H 0.192 0.250 0.825
H2 H 0.808 0.750 0.175
W1 W 0.354 0.750 0.056
W2 W 0.646 0.250 0.944
```

***

4.
Material: TmPuInGe
Method: DFT, PBE
State: optimized geometry

DOS at the Fermi energy, states/eV/cell: 9.64
Energy of formation from the pure elements, eV per atom: -0.32
Calculated total energy, eV per atom: -6.8642
Space group: No. 216

```
data_TmPuInGe
_cell_length_a 5.169
_cell_length_b 5.169
_cell_length_c 5.169
_cell_angle_alpha 60.00
_cell_angle_beta 60.00
_cell_angle_gamma 60.00
_space_group_name_H-M_alt 'P 1'
_space_group_IT_number 1
_space_group_name_Hall 'P 1'
loop_
_atom_site_label
_atom_site_type_symbol
_atom_site_fract_x
_atom_site_fract_y
_atom_site_fract_z
Tm1 Tm 0.000 0.000 0.000
Pu1 Pu 0.500 0.500 0.500
In1 In 0.250 0.250 0.250
Ge1 Ge 0.750 0.750 0.750
```

***

5.
Material: TiClO2
Method: DFT, PBE
State: optimized geometry

E_form (uncorrected), meV/atom: -1949
Energy relative to the lowest polymorph listed for this composition, meV per atom: 7
DOS at the Fermi energy, states/eV/cell: 6.88
Calculated total energy, eV per atom: -6.8635
Space group: No. 227

```
data_TiClO2
_cell_length_a 5.950
_cell_length_b 5.950
_cell_length_c 5.950
_cell_angle_alpha 60.00
_cell_angle_beta 60.00
_cell_angle_gamma 60.00
_space_group_name_H-M_alt 'P 1'
_space_group_IT_number 1
_space_group_name_Hall 'P 1'
loop_
_atom_site_label
_atom_site_type_symbol
_atom_site_fract_x
_atom_site_fract_y
_atom_site_fract_z
Ti1 Ti 0.125 0.125 0.125
Ti2 Ti 0.875 0.875 0.875
Cl1 Cl 0.375 0.375 0.375
Cl2 Cl 0.625 0.625 0.625
O1 O 0.000 0.000 0.000
O2 O 0.000 0.000 0.500
O3 O 0.000 0.500 0.000
O4 O 0.500 0.000 0.000
```

***

6.
Material: ScAg
Method: DFT, PBE
State: optimized geometry

DOS at the Fermi energy, states/eV/cell: 3.65
Energy of formation from the pure elements, eV per atom: -0.19
Calculated total energy, eV per atom: -4.7799
Space group: No. 12

```
data_ScAg
_cell_length_a 5.358
_cell_length_b 5.358
_cell_length_c 5.038
_cell_angle_alpha 102.62
_cell_angle_beta 102.62
_cell_angle_gamma 35.50
_space_group_name_H-M_alt 'P 1'
_space_group_IT_number 1
_space_group_name_Hall 'P 1'
loop_
_atom_site_label
_atom_site_type_symbol
_atom_site_fract_x
_atom_site_fract_y
_atom_site_fract_z
Sc1 Sc 0.113 0.113 0.324
Sc2 Sc 0.887 0.887 0.676
Ag1 Ag 0.367 0.367 0.157
Ag2 Ag 0.633 0.633 0.843
```

***

7.
Material: Rb2PuBi2O6
Method: DFT, PBE
State: optimized geometry

E_form (uncorrected), meV/atom: -1763
DOS at the Fermi energy, states/eV/cell: 2.25
Calculated total energy, eV per atom: -6.6518
Space group: No. 12

```
data_Rb2PuBi2O6
_cell_length_a 6.183
_cell_length_b 6.183
_cell_length_c 7.050
_cell_angle_alpha 98.54
_cell_angle_beta 98.54
_cell_angle_gamma 119.29
_space_group_name_H-M_alt 'P 1'
_space_group_IT_number 1
_space_group_name_Hall 'P 1'
loop_
_atom_site_label
_atom_site_type_symbol
_atom_site_fract_x
_atom_site_fract_y
_atom_site_fract_z
Rb1 Rb 0.171 0.829 0.000
Rb2 Rb 0.829 0.171 0.000
Pu1 Pu 0.000 0.000 0.500
Bi1 Bi 0.331 0.669 0.500
Bi2 Bi 0.669 0.331 0.500
O1 O 0.046 0.376 0.672
O2 O 0.227 0.227 0.322
O3 O 0.376 0.046 0.672
O4 O 0.624 0.954 0.328
O5 O 0.773 0.773 0.678
O6 O 0.954 0.624 0.328
```

***

8.
Material: LaAlPb
Method: DFT, PBE
State: optimized geometry

DOS at the Fermi energy, states/eV/cell: 0.40
Energy of formation from the pure elements, eV per atom: -0.42
Calculated total energy, eV per atom: -4.5507
Space group: No. 156

```
data_LaAlPb
_cell_length_a 4.617
_cell_length_b 4.617
_cell_length_c 4.635
_cell_angle_alpha 90.00
_cell_angle_beta 90.00
_cell_angle_gamma 120.00
_space_group_name_H-M_alt 'P 1'
_space_group_IT_number 1
_space_group_name_Hall 'P 1'
loop_
_atom_site_label
_atom_site_type_symbol
_atom_site_fract_x
_atom_site_fract_y
_atom_site_fract_z
La1 La 0.000 0.000 0.000
Al1 Al 0.333 0.667 0.626
Pb1 Pb 0.667 0.333 0.438
```

***

Repeat the first record exactly.
Material: HoMgPa2Ir4
Method: DFT, PBE
State: optimized geometry

DOS at the Fermi energy, states/eV/cell: 6.25
Energy of formation from the pure elements, eV per atom: -0.70
Calculated total energy, eV per atom: -8.2759
Space group: No. 166

```
data_HoMgPa2Ir4
_cell_length_a 8.820
_cell_length_b 8.820
_cell_length_c 8.820
_cell_angle_alpha 30.83
_cell_angle_beta 30.83
_cell_angle_gamma 30.83
_space_group_name_H-M_alt 'P 1'
_space_group_IT_number 1
_space_group_name_Hall 'P 1'
loop_
_atom_site_label
_atom_site_type_symbol
_atom_site_fract_x
_atom_site_fract_y
_atom_site_fract_z
Ho1 Ho 0.000 0.000 0.000
Mg1 Mg 0.500 0.500 0.500
Pa1 Pa 0.244 0.244 0.244
Pa2 Pa 0.756 0.756 0.756
Ir1 Ir 0.122 0.122 0.122
Ir2 Ir 0.391 0.391 0.391
Ir3 Ir 0.609 0.609 0.609
Ir4 Ir 0.878 0.878 0.878
```

***

- Which value of DOS at the Fermi energy does entry 8 give?
  0.40 states/eV/cell

***

Copy entry 8 word for word.
Material: LaAlPb
Method: DFT, PBE
State: optimized geometry

DOS at the Fermi energy, states/eV/cell: 0.40
Energy of formation from the pure elements, eV per atom: -0.42
Calculated total energy, eV per atom: -4.5507
Space group: No. 156

```
data_LaAlPb
_cell_length_a 4.617
_cell_length_b 4.617
_cell_length_c 4.635
_cell_angle_alpha 90.00
_cell_angle_beta 90.00
_cell_angle_gamma 120.00
_space_group_name_H-M_alt 'P 1'
_space_group_IT_number 1
_space_group_name_Hall 'P 1'
loop_
_atom_site_label
_atom_site_type_symbol
_atom_site_fract_x
_atom_site_fract_y
_atom_site_fract_z
La1 La 0.000 0.000 0.000
Al1 Al 0.333 0.667 0.626
Pb1 Pb 0.667 0.333 0.438
```

***

Repeat the seventh record exactly.
Material: Rb2PuBi2O6
Method: DFT, PBE
State: optimized geometry

E_form (uncorrected), meV/atom: -1763
DOS at the Fermi energy, states/eV/cell: 2.25
Calculated total energy, eV per atom: -6.6518
Space group: No. 12

```
data_Rb2PuBi2O6
_cell_length_a 6.183
_cell_length_b 6.183
_cell_length_c 7.050
_cell_angle_alpha 98.54
_cell_angle_beta 98.54
_cell_angle_gamma 119.29
_space_group_name_H-M_alt 'P 1'
_space_group_IT_number 1
_space_group_name_Hall 'P 1'
loop_
_atom_site_label
_atom_site_type_symbol
_atom_site_fract_x
_atom_site_fract_y
_atom_site_fract_z
Rb1 Rb 0.171 0.829 0.000
Rb2 Rb 0.829 0.171 0.000
Pu1 Pu 0.000 0.000 0.500
Bi1 Bi 0.331 0.669 0.500
Bi2 Bi 0.669 0.331 0.500
O1 O 0.046 0.376 0.672
O2 O 0.227 0.227 0.322
O3 O 0.376 0.046 0.672
O4 O 0.624 0.954 0.328
O5 O 0.773 0.773 0.678
O6 O 0.954 0.624 0.328
```